# NbGeMo3 (PBE-GGA, optimized geometry)
data_NbGeMo3
_chemical_formula_sum 'Nb1 Ge1 Mo3'
_symmetry_space_group_name_H-M 'P m -3 m'
_symmetry_Int_Tables_number 221
_symmetry_space_group_name_Hall '-P 4 2 3'
_cell_length_a 4.7767
_cell_length_b 4.7767
_cell_length_c 4.7767
_cell_angle_alpha 90.00
_cell_angle_beta 90.00
_cell_angle_gamma 90.00
loop_
_atom_site_label
_atom_site_type_symbol
_atom_site_fract_x
_atom_site_fract_y
_atom_site_fract_z
Nb1 Nb 0.0000 0.0000 0.0000
Ge1 Ge 0.5000 0.5000 0.5000
Mo1 Mo 0.0000 0.0000 0.5000
# total magnetic moment = 0.000 Bohr magnetons per cell
# total energy = -37.8 eV for the cell shown
# energy relative to the elements = 1.8799 eV per atom



# LaReCl2 (PBE-GGA, optimized geometry)
data_LaReCl2
_chemical_formula_sum 'La2 Re2 Cl4'
_symmetry_space_group_name_H-M 'C 1 2/m 1'
_symmetry_Int_Tables_number 12
_cell_length_a 13.5869
_cell_length_b 3.6285
_cell_length_c 4.8000
_cell_angle_alpha 90.00
_cell_angle_beta 90.87
_cell_angle_gamma 90.00
loop_
_symmetry_equiv_pos_as_xyz
'x,y,z'
'-x,-y,-z'
'-x,y,-z'
'x,-y,z'
'x+1/2,y+1/2,z'
'-x+1/2,-y+1/2,-z'
'-x+1/2,y+1/2,-z'
'x+1/2,-y+1/2,z'
loop_
_atom_site_label
_atom_site_type_symbol
_atom_site_fract_x
_atom_site_fract_y
_atom_site_fract_z
La1 La 0.0000 0.0000 0.0000
Re1 Re 0.0000 0.5000 0.5000
Cl1 Cl 0.1505 0.5000 0.7621
# total magnetic moment = 2.963 Bohr magnetons per cell
# total energy = -45.9 eV for the cell shown
# formation energy from raw total energies = -0.47 eV/atom



# Mo2Pt (PBE-GGA, optimized geometry)
data_Mo2Pt
_chemical_formula_sum 'Mo8 Pt4'
_symmetry_space_group_name_H-M 'F m -3 m'
_symmetry_Int_Tables_number 225
_symmetry_space_group_name_Hall '-F 4 2 3'
_cell_length_a 6.0710
_cell_length_b 6.0710
_cell_length_c 6.0710
_cell_angle_alpha 90.00
_cell_angle_beta 90.00
_cell_angle_gamma 90.00
loop_
_atom_site_label
_atom_site_type_symbol
_atom_site_fract_x
_atom_site_fract_y
_atom_site_fract_z
Mo1 Mo 0.2500 0.2500 0.2500
Pt1 Pt 0.0000 0.0000 0.0000
# total magnetic moment = 0.001 Bohr magnetons per cell
# total energy = -102.6 eV for the cell shown
# energy relative to the elements = 0.6840 eV per atom



# SnSb2S5 (PBE-GGA, optimized geometry)
data_SnSb2S5
_chemical_formula_sum 'Sn4 Sb8 S20'
_symmetry_space_group_name_H-M 'C m c m'
_symmetry_Int_Tables_number 63
_symmetry_space_group_name_Hall '-C 2c 2'
_cell_length_a 5.2842
_cell_length_b 14.1068
_cell_length_c 12.5848
_cell_angle_alpha 90.00
_cell_angle_beta 90.00
_cell_angle_gamma 90.00
loop_
_atom_site_label
_atom_site_type_symbol
_atom_site_fract_x
_atom_site_fract_y
_atom_site_fract_z
Sn1 Sn 0.0000 0.1752 0.2500
Sb1 Sb 0.0000 0.1533 0.5553
S1 S 0.0000 0.0511 0.1106
S2 S 0.0000 0.2762 0.7500
S3 S 0.0000 0.2963 0.0811
# total magnetic moment = 0.000 Bohr magnetons per cell
# total energy = -136.4 eV for the cell shown
# formation energy from raw total energies = -0.15 eV/atom



# BeOsPb (PBE-GGA, optimized geometry)
data_BeOsPb
_chemical_formula_sum 'Be4 Os4 Pb4'
_symmetry_space_group_name_H-M 'F -4 3 m'
_symmetry_Int_Tables_number 216
_symmetry_space_group_name_Hall 'F -4 2 3'
_cell_length_a 5.8403
_cell_length_b 5.8403
_cell_length_c 5.8403
_cell_angle_alpha 90.00
_cell_angle_beta 90.00
_cell_angle_gamma 90.00
loop_
_atom_site_label
_atom_site_type_symbol
_atom_site_fract_x
_atom_site_fract_y
_atom_site_fract_z
Be1 Be 0.0000 0.0000 0.0000
Os1 Os 0.2500 0.2500 0.7500
Pb1 Pb 0.2500 0.2500 0.2500
# total magnetic moment = 0.000 Bohr magnetons per cell
# total energy = -65.7 eV for the cell shown
# energy relative to the elements = 0.7440 eV per atom



# Ce2TeS2 (PBE-GGA, optimized geometry)
data_Ce2TeS2
_chemical_formula_sum 'Ce4 Te2 S4'
_symmetry_space_group_name_H-M 'P 63/m m c'
_symmetry_Int_Tables_number 194
_symmetry_space_group_name_Hall '-P 6c 2c'
_cell_length_a 4.6386
_cell_length_b 4.6386
_cell_length_c 15.5088
_cell_angle_alpha 90.00
_cell_angle_beta 90.00
_cell_angle_gamma 120.00
loop_
_atom_site_label
_atom_site_type_symbol
_atom_site_fract_x
_atom_site_fract_y
_atom_site_fract_z
Ce1 Ce 0.3333 0.6667 0.1153
Te1 Te 0.0000 0.0000 0.2500
S1 S 0.3333 0.6667 0.5687
# total magnetic moment = 4.010 Bohr magnetons per cell
# total energy = -64.6 eV for the cell shown
# formation energy from raw total energies = -1.80 eV/atom